First-principles (GGA-PBE) data for an optimized crystal structure of PmMgAl2Ag4, as listed in Alexandria via LeMat-Bulk.

a b c (Å): 9.1170 9.1170 9.1170
angles (deg): 28.99 28.99 28.99
Element x y z (fractional)
Pm 0.0000 0.0000 0.0000
Mg 0.5000 0.5000 0.5000
Al 0.2465 0.2465 0.2465
Al 0.7535 0.7535 0.7535
Ag 0.1298 0.1298 0.1298
Ag 0.3975 0.3975 0.3975
Ag 0.6025 0.6025 0.6025
Ag 0.8702 0.8702 0.8702

energy relative to the elements	-220	meV/atom